## MnAlTeO6 (PBE with a Hubbard U)

Data for a relaxed structure of MnAlTeO6.

Values from the calculation:
Electronic total energy in eV/cell: -117.7
Symmetry: P-31c

Unit cell a=5.0139 b=5.0139 c=8.9136 alpha=90.00 beta=90.00 gamma=120.00
Sites, in units of the cell vectors:
1 Mn 0.0000 0.0000 0.0000
2 Mn 0.0000 0.0000 0.5000
3 Al 0.3333 0.6667 0.2500
4 Al 0.6667 0.3333 0.7500
5 Te 0.3333 0.6667 0.7500
6 Te 0.6667 0.3333 0.2500
7 O 0.0048 0.3535 0.1334
8 O 0.0048 0.6514 0.3666
9 O 0.3486 0.3535 0.3666
10 O 0.3486 0.9952 0.1334
11 O 0.3535 0.0048 0.6334
12 O 0.3535 0.3486 0.8666
13 O 0.6465 0.6514 0.1334
14 O 0.6465 0.9952 0.3666
15 O 0.6514 0.0048 0.8666
16 O 0.6514 0.6465 0.6334
17 O 0.9952 0.3486 0.6334
18 O 0.9952 0.6465 0.8666